LaTaPb2, optimized geometry, DFT PBE-GGA; total DFT energy (no corrections) = -0.21135 Ha/atom; space group = Cmm2, No. 35; crystal system = orthorhombic
1.0
3.216 0.178 0.000
0.021 3.221 0.000
0.000 0.000 10.785
Pb La Ta
2 1 1
Direct
0.500 0.500 0.288 Pb
0.000 0.000 0.993 Pb
0.500 0.500 0.722 La
0.000 0.000 0.498 Ta